{
  "formula": "Pm4SbPSe2",
  "functional": "PBE",
  "state": "optimized geometry",
  "lattice": [[-3.830, 1.342, -1.266], [1.478, -2.245, -6.849], [-2.206, -7.064, -0.816]],
  "species": ["Pm", "Pm", "Se", "Se", "Pm", "Pm", "P", "Sb"],
  "fractional_positions": [[0.500, 0.739, 0.269], [0.500, 0.261, 0.731], [0.000, 0.000, 0.000], [0.500, 0.000, 0.500], [0.000, 0.251, 0.267], [0.000, 0.749, 0.733], [0.000, 0.500, 0.500], [0.500, 0.500, 0.000]],
  "raw_formation_energy_ev_per_atom": -1.63,
  "final_energy_ev_per_atom": -6.0641
}


{
  "formula": "Pm6Sb2TeP3",
  "functional": "PBE",
  "state": "optimized geometry",
  "lattice": [[4.272, 0.000, 0.000], [0.000, 8.681, 0.227], [-2.136, -2.593, 9.063]],
  "species": ["Te", "Pm", "Pm", "Pm", "Pm", "Pm", "P", "Sb", "P", "Pm", "P", "Sb"],
  "fractional_positions": [[0.500, 0.000, 0.000], [0.674, 0.071, 0.347], [0.326, 0.929, 0.653], [0.006, 0.731, 0.011], [0.338, 0.404, 0.676], [0.994, 0.269, 0.989], [0.834, 0.167, 0.668], [0.166, 0.332, 0.332], [0.166, 0.833, 0.332], [0.662, 0.596, 0.324], [0.500, 0.500, 0.000], [0.834, 0.668, 0.668]],
  "raw_formation_energy_ev_per_atom": -1.43,
  "final_energy_ev_per_atom": -6.1110
}


{
  "formula": "Pm8SbTe4P3",
  "functional": "PBE",
  "state": "optimized geometry",
  "lattice": [[-6.962, -2.172, 4.554], [4.533, -6.521, 3.820], [3.061, 8.025, 0.391]],
  "species": ["Pm", "Pm", "P", "Pm", "P", "Pm", "P", "Pm", "Te", "Pm", "Pm", "Sb", "Pm", "Te", "Te", "Te"],
  "fractional_positions": [[0.276, 0.280, 0.028], [0.752, 0.280, 0.028], [0.500, 0.500, 0.500], [0.263, 0.288, 0.525], [0.500, 0.500, 0.000], [0.248, 0.720, 0.495], [0.000, 0.500, 0.500], [0.248, 0.720, 0.972], [0.000, 0.000, 0.000], [0.724, 0.720, 0.972], [0.752, 0.280, 0.505], [0.000, 0.500, 0.000], [0.737, 0.712, 0.475], [0.000, 0.000, 0.500], [0.500, 0.000, 0.000], [0.500, 0.000, 0.500]],
  "raw_formation_energy_ev_per_atom": -1.50,
  "final_energy_ev_per_atom": -5.9371
}


{
  "formula": "Pm6SbTe3P2",
  "functional": "PBE",
  "state": "optimized geometry",
  "lattice": [[4.308, 0.000, 0.000], [0.000, 8.835, 0.200], [-2.154, -2.662, 9.219]],
  "species": ["Te", "Pm", "P", "P", "Te", "Pm", "Pm", "Pm", "Te", "Pm", "Sb", "Pm"],
  "fractional_positions": [[0.838, 0.167, 0.677], [0.324, 0.435, 0.647], [0.169, 0.337, 0.338], [0.831, 0.663, 0.662], [0.162, 0.833, 0.323], [0.676, 0.565, 0.353], [0.015, 0.254, 0.030], [0.985, 0.746, 0.970], [0.500, 0.500, 0.000], [0.330, 0.883, 0.661], [0.500, 0.000, 0.000], [0.670, 0.117, 0.339]],
  "raw_formation_energy_ev_per_atom": -1.49,
  "final_energy_ev_per_atom": -5.8982
}


{
  "formula": "Pm4Sb2TeP",
  "functional": "PBE",
  "state": "optimized geometry",
  "lattice": [[-2.261, -2.502, -2.804], [0.743, -5.932, 4.694], [-5.899, -0.119, 4.864]],
  "species": ["Sb", "P", "Te", "Pm", "Pm", "Pm", "Pm", "Sb"],
  "fractional_positions": [[0.000, 0.000, 0.000], [0.000, 0.500, 0.500], [0.500, 0.500, 0.000], [0.500, 0.264, 0.731], [0.000, 0.745, 0.736], [0.500, 0.736, 0.269], [0.000, 0.255, 0.264], [0.500, 0.000, 0.500]],
  "raw_formation_energy_ev_per_atom": -1.34,
  "final_energy_ev_per_atom": -5.8174
}


{
  "formula": "PmThSbP",
  "functional": "PBE",
  "state": "optimized geometry",
  "lattice": [[4.251, 0.000, 0.000], [-2.125, 3.681, 0.000], [-2.124, -1.226, 7.358]],
  "species": ["Sb", "Th", "Pm", "P"],
  "fractional_positions": [[0.471, 0.134, 0.620], [0.326, 0.561, 0.902], [0.948, 0.372, 0.336], [0.133, 0.964, 0.112]],
  "raw_formation_energy_ev_per_atom": -1.23,
  "final_energy_ev_per_atom": -6.6512
}


{
  "formula": "Pm2ScP",
  "functional": "PBE",
  "state": "optimized geometry",
  "lattice": [[3.789, 0.000, 0.000], [1.895, 3.282, 0.000], [1.895, 1.094, 9.897]],
  "species": ["Pm", "Sc", "P", "Pm"],
  "fractional_positions": [[0.890, 0.890, 0.329], [0.000, 0.000, 0.000], [0.500, 0.500, 0.500], [0.110, 0.110, 0.671]],
  "formation_enthalpy_0k_ev_per_atom": -0.379,
  "final_energy_ev_per_atom": -5.6900
}


{
  "formula": "PmThSc2P4",
  "functional": "PBE",
  "state": "optimized geometry",
  "lattice": [[-1.210, 3.291, 1.871], [-6.471, -1.685, -1.220], [-2.408, -3.830, 5.179]],
  "species": ["Th", "Sc", "P", "Sc", "P", "Pm", "P", "P"],
  "fractional_positions": [[0.500, 0.500, 0.000], [0.500, 0.000, 0.500], [0.500, 0.228, 0.758], [0.000, 0.000, 0.000], [0.500, 0.772, 0.242], [0.000, 0.500, 0.500], [0.000, 0.773, 0.742], [0.000, 0.227, 0.258]],
  "formation_enthalpy_0k_ev_per_atom": -1.512,
  "final_energy_ev_per_atom": -7.3208
}


{
  "formula": "Pm2ThScP4",
  "functional": "PBE",
  "state": "optimized geometry",
  "lattice": [[-3.569, -1.918, -0.342], [1.588, -3.945, 5.546], [-3.335, 5.822, 2.143]],
  "species": ["P", "Pm", "Sc", "P", "Pm", "Th", "P", "P"],
  "fractional_positions": [[0.000, 0.243, 0.758], [0.000, 0.500, 0.500], [0.000, 0.000, 0.000], [0.500, 0.764, 0.765], [0.500, 0.000, 0.500], [0.500, 0.500, 0.000], [0.000, 0.757, 0.242], [0.500, 0.236, 0.235]],
  "formation_enthalpy_0k_ev_per_atom": -1.525,
  "final_energy_ev_per_atom": -7.1366
}


{
  "formula": "PmTh2ScP4",
  "functional": "PBE",
  "state": "optimized geometry",
  "lattice": [[-2.519, 2.953, -1.250], [-3.232, -4.536, -4.203], [-5.324, -3.079, 3.456]],
  "species": ["Pm", "Th", "Sc", "P", "P", "Th", "P", "P"],
  "fractional_positions": [[0.000, 0.500, 0.500], [0.000, 0.000, 0.000], [0.500, 0.500, 0.000], [0.500, 0.743, 0.243], [0.000, 0.264, 0.237], [0.500, 0.000, 0.500], [0.000, 0.736, 0.763], [0.500, 0.257, 0.757]],
  "formation_enthalpy_0k_ev_per_atom": -1.507,
  "final_energy_ev_per_atom": -7.4523
}


{
  "formula": "Pm2TmScP4",
  "functional": "PBE",
  "state": "optimized geometry",
  "lattice": [[-2.390, 3.069, 0.944], [-3.883, -1.307, -5.584], [-2.441, -3.560, 5.394]],
  "species": ["P", "P", "P", "Sc", "P", "Pm", "Tm", "Pm"],
  "fractional_positions": [[0.000, 0.250, 0.765], [0.500, 0.239, 0.231], [0.000, 0.750, 0.235], [0.000, 0.000, 0.000], [0.500, 0.761, 0.769], [0.500, 0.000, 0.500], [0.500, 0.500, 0.000], [0.000, 0.500, 0.500]],
  "formation_enthalpy_0k_ev_per_atom": -1.527,
  "final_energy_ev_per_atom": -6.7703
}


{
  "formula": "Pm2ZrScP4",
  "functional": "PBE",
  "state": "optimized geometry",
  "lattice": [[-0.734, -3.331, -1.950], [-1.598, -3.072, 5.850], [-5.614, 2.809, -2.684]],
  "species": ["Sc", "P", "Pm", "P", "Zr", "Pm", "P", "P"],
  "fractional_positions": [[0.500, 0.500, 0.000], [0.500, 0.758, 0.773], [0.500, 0.000, 0.500], [0.000, 0.743, 0.226], [0.000, 0.000, 0.000], [0.000, 0.500, 0.500], [0.000, 0.257, 0.774], [0.500, 0.242, 0.227]],
  "formation_enthalpy_0k_ev_per_atom": -1.490,
  "final_energy_ev_per_atom": -7.2424
}


{
  "formula": "Pm3P5Se12",
  "functional": "PBE",
  "state": "optimized geometry",
  "lattice": [[13.897, 0.000, 0.000], [-4.632, 13.102, 0.000], [-4.632, -6.551, 11.347]],
  "species": ["Se", "Se", "P", "Se", "P", "P", "P", "Se", "P", "Se", "Pm", "Se", "P", "P", "Se", "Se", "Se", "Pm", "Se", "Se", "Se", "P", "P", "Se", "Se", "P", "Se", "Pm", "Pm", "Se", "Se", "Se", "Pm", "Se", "Pm", "Se", "Se", "Se", "Se", "Se", "Se", "Pm", "Se", "Pm", "Se", "P", "P", "Se", "Pm", "Pm", "Pm", "Se", "Se", "Se", "Se", "Pm", "Se", "Se", "Se", "P", "Se", "P", "P", "Se", "Se", "Se", "Se", "Se", "Se", "P", "P", "Se", "Se", "Se", "Se", "P", "Se", "P", "P", "Se"],
  "fractional_positions": [[0.206, 0.532, 0.624], [0.408, 0.032, 0.326], [0.500, 0.000, 0.000], [0.124, 0.418, 0.092], [0.000, 0.000, 0.000], [0.875, 0.625, 0.750], [0.250, 0.875, 0.125], [0.582, 0.706, 0.674], [0.250, 0.375, 0.625], [0.826, 0.918, 0.294], [0.875, 0.125, 0.250], [0.968, 0.592, 0.174], [0.125, 0.750, 0.375], [0.875, 0.250, 0.625], [0.908, 0.082, 0.876], [0.418, 0.124, 0.592], [0.376, 0.408, 0.082], [0.875, 0.750, 0.125], [0.326, 0.532, 0.408], [0.532, 0.206, 0.124], [0.092, 0.174, 0.468], [0.625, 0.875, 0.250], [0.750, 0.625, 0.375], [0.624, 0.592, 0.918], [0.206, 0.674, 0.082], [0.375, 0.125, 0.750], [0.876, 0.294, 0.468], [0.250, 0.625, 0.875], [0.750, 0.875, 0.625], [0.124, 0.706, 0.532], [0.376, 0.968, 0.794], [0.674, 0.468, 0.592], [0.750, 0.375, 0.125], [0.706, 0.582, 0.174], [0.375, 0.750, 0.625], [0.674, 0.206, 0.582], [0.032, 0.408, 0.826], [0.826, 0.908, 0.032], [0.592, 0.968, 0.674], [0.794, 0.326, 0.918], [0.294, 0.876, 0.968], [0.375, 0.625, 0.250], [0.418, 0.294, 0.326], [0.125, 0.250, 0.875], [0.092, 0.918, 0.124], [0.125, 0.375, 0.250], [0.000, 0.500, 0.500], [0.968, 0.376, 0.294], [0.125, 0.875, 0.750], [0.625, 0.375, 0.750], [0.250, 0.125, 0.375], [0.468, 0.674, 0.092], [0.032, 0.624, 0.706], [0.918, 0.826, 0.794], [0.592, 0.624, 0.418], [0.625, 0.250, 0.375], [0.174, 0.082, 0.706], [0.294, 0.418, 0.826], [0.532, 0.326, 0.908], [0.500, 0.500, 0.500], [0.908, 0.826, 0.532], [0.000, 0.000, 0.500], [0.000, 0.500, 0.000], [0.794, 0.468, 0.376], [0.706, 0.124, 0.032], [0.876, 0.582, 0.908], [0.624, 0.032, 0.206], [0.082, 0.908, 0.376], [0.468, 0.794, 0.876], [0.625, 0.750, 0.875], [0.500, 0.000, 0.500], [0.174, 0.092, 0.968], [0.918, 0.092, 0.624], [0.326, 0.794, 0.418], [0.582, 0.876, 0.408], [0.500, 0.500, 0.000], [0.082, 0.174, 0.206], [0.375, 0.250, 0.125], [0.750, 0.125, 0.875], [0.408, 0.376, 0.582]],
  "raw_formation_energy_ev_per_atom": -0.55,
  "final_energy_ev_per_atom": -4.7028
}


{
  "formula": "Pm12P5Se3",
  "functional": "PBE",
  "state": "optimized geometry",
  "lattice": [[-10.272, 9.070, -5.194], [-6.411, -11.838, 5.789], [7.811, 6.866, 10.325]],
  "species": ["P", "Se", "Pm", "Se", "Pm", "Pm", "Pm", "P", "Se", "Pm", "Pm", "Pm", "P", "Pm", "P", "Se", "P", "P", "Pm", "Pm", "Pm", "Pm", "P", "Pm", "Se", "Pm", "P", "P", "P", "Pm", "Pm", "Pm", "Pm", "Pm", "Se", "Pm", "Pm", "Pm", "Pm", "Pm", "Pm", "Pm", "Pm", "Pm", "Pm", "P", "Se", "Pm", "Pm", "P", "Pm", "Pm", "Se", "Pm", "Pm", "Pm", "Pm", "P", "Se", "Se", "Pm", "Pm", "P", "Pm", "P", "P", "Pm", "Pm", "Se", "Pm", "P", "P", "Pm", "Pm", "Pm", "Se", "P", "Pm", "P", "Pm"],
  "fractional_positions": [[0.500, 0.500, 0.500], [0.250, 0.625, 0.875], [0.411, 0.286, 0.327], [0.125, 0.875, 0.750], [0.327, 0.786, 0.411], [0.089, 0.173, 0.214], [0.375, 0.959, 0.786], [0.250, 0.875, 0.125], [0.750, 0.875, 0.625], [0.916, 0.827, 0.541], [0.286, 0.875, 0.959], [0.416, 0.375, 0.589], [0.000, 0.000, 0.000], [0.714, 0.125, 0.041], [0.125, 0.375, 0.250], [0.625, 0.375, 0.750], [0.500, 0.500, 0.000], [0.625, 0.750, 0.875], [0.589, 0.875, 0.416], [0.959, 0.375, 0.286], [0.827, 0.916, 0.041], [0.416, 0.041, 0.327], [0.625, 0.875, 0.250], [0.911, 0.084, 0.625], [0.750, 0.375, 0.125], [0.875, 0.286, 0.459], [0.125, 0.750, 0.375], [0.000, 0.000, 0.500], [0.375, 0.250, 0.125], [0.411, 0.125, 0.584], [0.625, 0.041, 0.214], [0.584, 0.625, 0.411], [0.089, 0.916, 0.375], [0.786, 0.327, 0.911], [0.625, 0.250, 0.375], [0.125, 0.714, 0.541], [0.459, 0.673, 0.084], [0.125, 0.411, 0.084], [0.673, 0.214, 0.589], [0.827, 0.911, 0.286], [0.084, 0.911, 0.125], [0.584, 0.959, 0.673], [0.375, 0.416, 0.089], [0.625, 0.584, 0.911], [0.714, 0.589, 0.173], [0.000, 0.500, 0.500], [0.375, 0.625, 0.250], [0.541, 0.327, 0.916], [0.041, 0.625, 0.714], [0.750, 0.625, 0.375], [0.214, 0.673, 0.089], [0.916, 0.089, 0.875], [0.250, 0.125, 0.375], [0.173, 0.089, 0.714], [0.084, 0.173, 0.459], [0.041, 0.416, 0.827], [0.673, 0.459, 0.584], [0.500, 0.000, 0.500], [0.375, 0.750, 0.625], [0.125, 0.250, 0.875], [0.959, 0.584, 0.173], [0.875, 0.589, 0.916], [0.500, 0.000, 0.000], [0.911, 0.827, 0.786], [0.250, 0.375, 0.625], [0.750, 0.125, 0.875], [0.589, 0.714, 0.673], [0.786, 0.459, 0.375], [0.875, 0.750, 0.125], [0.286, 0.411, 0.827], [0.000, 0.500, 0.000], [0.875, 0.625, 0.750], [0.173, 0.084, 0.959], [0.214, 0.541, 0.625], [0.327, 0.541, 0.416], [0.875, 0.125, 0.250], [0.875, 0.250, 0.625], [0.541, 0.214, 0.125], [0.375, 0.125, 0.750], [0.459, 0.786, 0.875]],
  "raw_formation_energy_ev_per_atom": -0.90,
  "final_energy_ev_per_atom": -5.6234
}


{
  "formula": "PmP2Se6",
  "functional": "PBE",
  "state": "optimized geometry",
  "lattice": [[6.716, 0.000, 0.000], [3.358, 5.817, 0.000], [3.358, 1.939, 7.377]],
  "species": ["Se", "Se", "Se", "Pm", "P", "Se", "Se", "Se", "P"],
  "fractional_positions": [[0.307, 0.521, 0.248], [0.398, 0.021, 0.769], [0.811, 0.398, 0.769], [0.351, 0.351, 0.947], [0.717, 0.717, 0.848], [0.021, 0.811, 0.769], [0.924, 0.307, 0.248], [0.521, 0.924, 0.248], [0.615, 0.615, 0.155]],
  "raw_formation_energy_ev_per_atom": -0.47,
  "final_energy_ev_per_atom": -4.5273
}


{
  "formula": "Pm4PSe2",
  "functional": "PBE",
  "state": "optimized geometry",
  "lattice": [[-3.314, 2.311, 0.602], [-1.980, -0.159, 3.569], [6.075, 10.709, 6.184]],
  "species": ["Pm", "Se", "Se", "P", "Pm", "Pm", "Pm"],
  "fractional_positions": [[0.706, 0.706, 0.881], [0.419, 0.419, 0.743], [0.581, 0.581, 0.257], [0.000, 0.000, 0.000], [0.294, 0.294, 0.119], [0.131, 0.131, 0.608], [0.869, 0.869, 0.392]],
  "raw_formation_energy_ev_per_atom": -1.49,
  "final_energy_ev_per_atom": -5.9768
}


{
  "formula": "Pm6P5Se",
  "functional": "PBE",
  "state": "optimized geometry",
  "lattice": [[-7.083, -0.451, 1.084], [-1.268, -3.717, 6.010], [-0.466, 3.407, 6.297]],
  "species": ["P", "P", "Pm", "Pm", "Pm", "Pm", "P", "Pm", "P", "Pm", "P", "Se"],
  "fractional_positions": [[0.500, 0.500, 0.000], [0.500, 0.165, 0.670], [0.254, 0.573, 0.342], [0.745, 0.743, 0.000], [0.746, 0.427, 0.658], [0.255, 0.257, 0.000], [0.500, 0.835, 0.330], [0.746, 0.085, 0.342], [0.000, 0.333, 0.334], [0.254, 0.915, 0.658], [0.000, 0.667, 0.666], [0.000, 0.000, 0.000]],
  "raw_formation_energy_ev_per_atom": -1.66,
  "final_energy_ev_per_atom": -6.5834
}